A relaxed structure of K2BaBr. Source: Alexandria, functional GGA-PBE.

Lattice parameters (Å, degrees): 6.9470 14.0539 4.6054 90.00 90.00 90.00
Closest atoms and distances in Å follow each position.
Space group Cmmm (No. 65)
Unique sites:
K  0.2500  0.2500  0.0000 x4  2 K 3.47
Ba  0.0000  0.0000  0.5000 x2  2 Br 3.47
Br  0.0000  0.5000  0.5000 x2  2 Ba 3.47

* polymorph energy (0 for the lowest one): 0.960 eV per formula unit
* total DFT energy (no corrections): -1.973 eV per atom
* formation energy from raw total energies: -0.5252 eV per atom
* density of states at the Fermi level: 6.1 states/eV/cell
* magnetic moment: 0.0 μB per cell